Entry 1:
## BaZn2GaAu (GGA-PBE)

Data for a relaxed structure of BaZn2GaAu.

```
BaZn2GaAu
1.0
-2.3619 2.3763 5.1749
2.3619 -2.3763 5.1749
2.3619 2.3763 -5.1749
Ba Zn Ga Au
1 2 1 1
Direct
0.0000 0.0000 0.0000
0.3725 0.3725 0.0000
0.7487 0.2487 0.5000
0.6298 0.6298 0.0000
0.2457 0.7457 0.5000
```

Output
total DFT energy (no corrections)	-0.0931	Ha/atom
DOS at the Fermi energy	0.412	states/eV/atom
total magnetic moment	0.0	Bohr magnetons per cell
volume	116	Å³ per cell

***

Entry 2:
## AcLaPr2Y5 (GGA-PBE)

Data for a relaxed structure of AcLaPr2Y5.

```
AcLaPr2Y5
1.0
-4.4551 4.4551 8.0182
4.4551 -4.4551 8.0182
4.4551 4.4551 -8.0182
Ac La Pr Y
2 2 4 10
Direct
0.2500 0.7500 0.5000
0.7500 0.2500 0.5000
0.2500 0.2500 0.0000
0.7500 0.7500 0.0000
0.1160 0.6160 0.7319
0.3840 0.1160 0.5000
0.6160 0.8840 0.5000
0.8840 0.3840 0.2681
0.0000 0.0000 0.0000
0.0793 0.1563 0.5000
0.1563 0.6563 0.0770
0.3437 0.4207 0.5000
0.4207 0.9207 0.0770
0.5000 0.5000 0.0000
0.5793 0.0793 0.9230
0.6563 0.5793 0.5000
0.8437 0.3437 0.9230
0.9207 0.8437 0.5000
```

Output
total DFT energy (no corrections)	-0.1991	Ha/atom
DOS at the Fermi energy	1.074	states/eV/atom
total magnetic moment	0.0	Bohr magnetons per cell
volume	637	Å³ per cell

***

Entry 3:
## Rb2MgBr5 (GGA-PBE)

Data for a relaxed structure of Rb2MgBr5.

```
Rb2MgBr5
1.0
3.0079 -8.5011 0.0000
3.0079 8.5011 0.0000
0.0000 0.0000 14.5709
Rb Mg Br
4 2 10
Direct
0.1515 0.8485 0.5805
0.1515 0.8485 0.9195
0.8485 0.1515 0.0805
0.8485 0.1515 0.4195
0.1810 0.8190 0.2500
0.8190 0.1810 0.7500
0.0468 0.9532 0.1481
0.0468 0.9532 0.3519
0.2721 0.7279 0.1101
0.2721 0.7279 0.3899
0.3053 0.6947 0.7500
0.6947 0.3053 0.2500
0.7279 0.2721 0.6101
0.7279 0.2721 0.8899
0.9532 0.0468 0.6481
0.9532 0.0468 0.8519
```

Output
DOS at the Fermi energy	0.729	states/eV/atom
uncorrected formation energy	-1293	meV per atom
total magnetic moment	2.2	Bohr magnetons per cell
volume	745	Å³ per cell